Record 1
Ac2InAg3: relaxed, PBE.

Computed properties:
VASP energy   -21.27 eV/cell
Symmetry   Imm2 (44)
E above lowest polymorph   35 meV per atom
Formation energy from the elements   -0.293 eV per atom
M_tot   0.0 μB per formula unit

Cell: 4.312 4.582 9.423 Å, 104.07 103.23 90.00°
Positions (direct):
Ac: 0.129 0.129 0.257
Ac: 0.867 0.367 0.733
In: 0.460 0.960 0.919
Ag: 0.702 0.702 0.403
Ag: 0.545 0.545 0.090
Ag: 0.298 0.798 0.596

=====

Record 2
Na2CdCu2Pd5: relaxed, PBE.

Computed properties:
VASP energy   -77.91 eV/cell
Symmetry   P4/mbm (127)
Formation energy from the elements   -0.124 eV per atom
M_tot   0.0 μB per formula unit

Cell: 4.043 9.205 9.205 Å, 90.00 90.00 90.00°
Positions (direct):
Na: 0.000 0.675 0.175
Na: 0.000 0.325 0.825
Na: 0.000 0.175 0.325
Na: 0.000 0.825 0.675
Cd: 0.000 0.000 0.000
Cd: 0.000 0.500 0.500
Cu: 0.000 0.120 0.620
Cu: 0.000 0.880 0.380
Cu: 0.000 0.620 0.880
Cu: 0.000 0.380 0.120
Pd: 0.500 0.207 0.071
Pd: 0.500 0.793 0.929
Pd: 0.500 0.071 0.793
Pd: 0.500 0.707 0.429
Pd: 0.500 0.929 0.207
Pd: 0.500 0.293 0.571
Pd: 0.500 0.571 0.707
Pd: 0.500 0.429 0.293
Pd: 0.500 0.500 0.000
Pd: 0.500 0.000 0.500

=====

Record 3
KOs: relaxed, PBE.

Computed properties:
VASP energy   -65.58 eV/cell
Symmetry   R-3m (166)
E above lowest polymorph   0 meV per atom
Formation energy from the elements   0.698 eV per atom
M_tot   0.0 μB per formula unit

Cell: 4.100 4.100 28.900 Å, 90.00 90.00 120.00°
Positions (direct):
K: 0.000 0.000 0.090
K: 0.000 0.000 0.910
K: 0.333 0.667 0.423
K: 0.333 0.667 0.244
K: 0.667 0.333 0.756
K: 0.667 0.333 0.577
Os: 0.000 0.000 0.327
Os: 0.000 0.000 0.673
Os: 0.333 0.667 0.660
Os: 0.333 0.667 0.007
Os: 0.667 0.333 0.993
Os: 0.667 0.333 0.340